The following is a PBE calculation of a relaxed TbSm3C2 crystal, from the Alexandria database.

Cell: 6.4959 7.2499 7.2499 Å, 120.00 90.00 90.00°
With the nearest neighbours (Å) after each atom.
Element x y z (fractional)
Tb  0.2048  0.3333  0.6667  3 C 2.48
Tb  0.7952  0.6667  0.3333  3 C 2.48
Sm  0.7837  0.1664  0.8336  3 C 2.52
Sm  0.7837  0.6673  0.8336  3 C 2.52
Sm  0.7837  0.1664  0.3327  3 C 2.52
Sm  0.2163  0.8336  0.6673  3 C 2.52
Sm  0.2163  0.8336  0.1664  3 C 2.52
Sm  0.2163  0.3327  0.1664  3 C 2.52
C  0.0000  0.0000  0.0000  6 Sm 2.52
C  0.0000  0.5000  0.0000  2 Tb 2.48, 4 Sm 2.52
C  0.0000  0.0000  0.5000  2 Tb 2.48, 4 Sm 2.52
C  0.0000  0.5000  0.5000  2 Tb 2.48, 4 Sm 2.52

As for the formation energy: -17 kJ/mol of atoms. As for the space group: No. 164.